Entry 1:
Entry from Alexandria: a relaxed ScTi3Sn crystal (PBE).

```
ScTi3Sn
1.0
4.7163 0.0000 0.0000
0.0000 4.7163 0.0000
0.0000 0.0000 4.7163
Sc Ti Sn
1 3 1
direct
0.0000 0.0000 0.0000
0.0000 0.0000 0.5000
0.0000 0.5000 0.0000
0.5000 0.0000 0.0000
0.5000 0.5000 0.5000
```

Summary:
Symmetry: Pm-3m, No. 221
Energy relative to the elements: 4.82 eV/f.u.
Size of the total moment: 2.1 μB/f.u.
Calculated volume: 20.98 A^3/atom
E: -29.2 eV per formula unit
Density of states at the Fermi level: 1.5187 states/eV/atom
Polymorph energy (0 for the lowest one): 0.104 eV/atom

Entry 2:
Entry from Alexandria: a relaxed Sc3TiSn crystal (PBE).

```
Sc3TiSn
1.0
4.9706 0.0000 0.0000
0.0000 4.9706 0.0000
0.0000 0.0000 4.9706
Sc Ti Sn
3 1 1
direct
0.0000 0.0000 0.5000
0.0000 0.5000 0.0000
0.5000 0.0000 0.0000
0.0000 0.0000 0.0000
0.5000 0.5000 0.5000
```

Summary:
Symmetry: Pm-3m, No. 221
Energy relative to the elements: 2.08 eV/f.u.
Size of the total moment: 0.0 μB/f.u.
Calculated volume: 24.56 A^3/atom
E: -28.8 eV per formula unit
Density of states at the Fermi level: 1.0595 states/eV/atom
Polymorph energy (0 for the lowest one): 0.000 eV/atom

Entry 3:
Entry from Alexandria: a relaxed ScTi9Sn2 crystal (PBE).

```
ScTi9Sn2
1.0
2.8442 1.6421 8.1011
-2.8442 1.6421 8.1011
0.0000 -3.2842 8.1011
Sc Ti Sn
1 9 2
direct
0.0000 0.0000 0.0000
0.0785 0.5855 0.5855
0.3323 0.3323 0.3323
0.4145 0.4145 0.9215
0.4145 0.9215 0.4145
0.5000 0.5000 0.5000
0.5855 0.0785 0.5855
0.5855 0.5855 0.0785
0.6677 0.6677 0.6677
0.9215 0.4145 0.4145
0.1374 0.1374 0.1374
0.8626 0.8626 0.8626
```

Summary:
Symmetry: R-3m, No. 166
Energy relative to the elements: 0.63 eV/f.u.
Size of the total moment: 1.1 μB/f.u.
Calculated volume: 18.92 A^3/atom
E: -84.8 eV per formula unit
Density of states at the Fermi level: 1.3392 states/eV/atom

Entry 4:
Entry from Alexandria: a relaxed Sc2TiSn crystal (PBE).

```
Sc2TiSn
1.0
7.8942 0.0000 0.0000
0.0000 7.8942 0.0000
0.0000 0.0000 5.8482
Sc Ti Sn
8 4 4
direct
0.2469 0.7500 0.1250
0.2500 0.2469 0.8750
0.2500 0.2531 0.3750
0.2531 0.7500 0.6250
0.7469 0.2500 0.6250
0.7500 0.7469 0.3750
0.7500 0.7531 0.8750
0.7531 0.2500 0.1250
0.0000 0.0000 0.0000
0.0000 0.5000 0.2500
0.5000 0.0000 0.7500
0.5000 0.5000 0.5000
0.0000 0.0000 0.5000
0.0000 0.5000 0.7500
0.5000 0.0000 0.2500
0.5000 0.5000 0.0000
```

Summary:
Symmetry: I-42d, No. 122
Energy relative to the elements: 0.63 eV/f.u.
Size of the total moment: 1.0 μB/f.u.
Calculated volume: 22.78 A^3/atom
E: -23.9 eV per formula unit
Density of states at the Fermi level: 1.0936 states/eV/atom

Entry 5:
Entry from Alexandria: a relaxed ScTi12Sn6 crystal (PBE).

```
ScTi12Sn6
1.0
6.0888 3.5154 3.1276
-6.0888 3.5154 3.1276
0.0000 -7.0308 3.1276
Sc Ti Sn
1 12 6
direct
0.0000 0.0000 0.0000
0.1062 0.5000 0.8938
0.1062 0.8938 0.5000
0.1644 0.3992 0.3992
0.3992 0.1644 0.3992
0.3992 0.3992 0.1644
0.5000 0.1062 0.8938
0.5000 0.8938 0.1062
0.6008 0.6008 0.8356
0.6008 0.8356 0.6008
0.8356 0.6008 0.6008
0.8938 0.1062 0.5000
0.8938 0.5000 0.1062
0.2701 0.7278 0.7278
0.2722 0.2722 0.7299
0.2722 0.7299 0.2722
0.7278 0.2701 0.7278
0.7278 0.7278 0.2701
0.7299 0.2722 0.2722
```

Summary:
Symmetry: R-3m, No. 166
Energy relative to the elements: 1.28 eV/f.u.
Size of the total moment: 4.0 μB/f.u.
Calculated volume: 21.14 A^3/atom
E: -123.8 eV per formula unit
Density of states at the Fermi level: 1.1780 states/eV/atom

Entry 6:
Entry from Alexandria: a relaxed Sc2TiSn crystal (PBE).

```
Sc2TiSn
1.0
3.2331 0.0000 0.0000
-1.6165 2.7999 0.0000
0.0000 0.0000 29.2930
Sc Ti Sn
6 3 3
direct
0.0000 0.0000 0.2473
0.0000 0.0000 0.7527
0.3333 0.6667 0.4194
0.3333 0.6667 0.9140
0.6667 0.3333 0.0860
0.6667 0.3333 0.5806
0.0000 0.0000 0.5000
0.3333 0.6667 0.1667
0.6667 0.3333 0.8333
0.0000 0.0000 0.0000
0.3333 0.6667 0.6667
0.6667 0.3333 0.3333
```

Summary:
Symmetry: R-3m, No. 166
Energy relative to the elements: -0.59 eV/f.u.
Size of the total moment: 0.0 μB/f.u.
Calculated volume: 22.10 A^3/atom
E: -25.1 eV per formula unit
Density of states at the Fermi level: 1.3172 states/eV/atom

Entry 7:
Entry from Alexandria: a relaxed Sc2Ti2Sn crystal (PBE).

```
Sc2Ti2Sn
1.0
7.2245 0.0000 0.0000
0.0000 7.2245 0.0000
0.0000 0.0000 4.0441
Sc Ti Sn
4 4 2
direct
0.1597 0.3403 0.0000
0.3403 0.8403 0.0000
0.6597 0.1597 0.0000
0.8403 0.6597 0.0000
0.1333 0.6333 0.5000
0.3667 0.1333 0.5000
0.6333 0.8667 0.5000
0.8667 0.3667 0.5000
0.0000 0.0000 0.5000
0.5000 0.5000 0.5000
```

Summary:
Symmetry: P4/mbm, No. 127
Energy relative to the elements: -0.68 eV/f.u.
Size of the total moment: 0.1 μB/f.u.
Calculated volume: 21.11 A^3/atom
E: -33.1 eV per formula unit
Density of states at the Fermi level: 1.3821 states/eV/atom

Entry 8:
Entry from Alexandria: a relaxed ScTiVSn2 crystal (PBE).

```
ScTiVSn2
1.0
5.3159 0.0000 0.0000
0.0000 5.3159 0.0000
0.0000 0.0000 4.4234
Sc Ti V Sn
1 1 1 2
direct
0.0000 0.0000 0.0000
0.0000 0.0000 0.5000
0.5000 0.5000 0.5000
0.0000 0.5000 0.0000
0.5000 0.0000 0.0000
```

Summary:
Symmetry: P4/mmm, No. 123
Energy relative to the elements: 6.00 eV/f.u.
Size of the total moment: 0.0 μB/f.u.
Calculated volume: 25.00 A^3/atom
E: -25.3 eV per formula unit
Density of states at the Fermi level: 1.6072 states/eV/atom

Entry 9:
Entry from Alexandria: a relaxed ScTiZnSn crystal (PBE).

```
ScTiZnSn
1.0
6.7450 0.0000 0.0000
0.0000 6.7450 0.0000
0.0000 0.0000 6.7450
Sc Ti Zn Sn
4 4 4 4
direct
0.0000 0.0000 0.0000
0.0000 0.5000 0.5000
0.5000 0.0000 0.5000
0.5000 0.5000 0.0000
0.0000 0.0000 0.5000
0.0000 0.5000 0.0000
0.5000 0.0000 0.0000
0.5000 0.5000 0.5000
0.2500 0.2500 0.7500
0.2500 0.7500 0.2500
0.7500 0.2500 0.2500
0.7500 0.7500 0.7500
0.2500 0.2500 0.2500
0.2500 0.7500 0.7500
0.7500 0.2500 0.7500
0.7500 0.7500 0.2500
```

Summary:
Symmetry: F-43m, No. 216
Energy relative to the elements: -1.07 eV/f.u.
Size of the total moment: 1.1 μB/f.u.
Calculated volume: 19.18 A^3/atom
E: -20.6 eV per formula unit
Density of states at the Fermi level: 1.0392 states/eV/atom

Entry 10:
Entry from Alexandria: a relaxed ZrScTiSn crystal (PBE).

```
ZrScTiSn
1.0
6.9772 0.0000 0.0000
0.0000 6.9772 0.0000
0.0000 0.0000 6.9772
Zr Sc Ti Sn
4 4 4 4
direct
0.0000 0.0000 0.0000
0.0000 0.5000 0.5000
0.5000 0.0000 0.5000
0.5000 0.5000 0.0000
0.0000 0.0000 0.5000
0.0000 0.5000 0.0000
0.5000 0.0000 0.0000
0.5000 0.5000 0.5000
0.2500 0.2500 0.2500
0.2500 0.7500 0.7500
0.7500 0.2500 0.7500
0.7500 0.7500 0.2500
0.2500 0.2500 0.7500
0.2500 0.7500 0.2500
0.7500 0.2500 0.2500
0.7500 0.7500 0.7500
```

Summary:
Symmetry: F-43m, No. 216
Energy relative to the elements: -0.92 eV/f.u.
Size of the total moment: 2.5 μB/f.u.
Calculated volume: 21.23 A^3/atom
E: -27.7 eV per formula unit
Density of states at the Fermi level: 1.2530 states/eV/atom

Entry 11:
Entry from Alexandria: a relaxed ScTl2Sn crystal (PBE).

```
ScTl2Sn
1.0
3.4457 0.0000 0.0000
-1.7229 2.9841 0.0000
0.0000 0.0000 33.7874
Sc Tl Sn
3 6 3
direct
0.0000 0.0000 0.0000
0.3333 0.6667 0.6667
0.6667 0.3333 0.3333
0.0000 0.0000 0.0874
0.0000 0.0000 0.9126
0.3333 0.6667 0.5792
0.3333 0.6667 0.7541
0.6667 0.3333 0.2459
0.6667 0.3333 0.4208
0.0000 0.0000 0.5000
0.3333 0.6667 0.1667
0.6667 0.3333 0.8333
```

Summary:
Symmetry: R-3m, No. 166
Energy relative to the elements: 0.64 eV/f.u.
Size of the total moment: 0.0 μB/f.u.
Calculated volume: 28.95 A^3/atom
E: -14.4 eV per formula unit
Density of states at the Fermi level: 0.6969 states/eV/atom
Polymorph energy (0 for the lowest one): 0.299 eV/atom

Entry 12:
Entry from Alexandria: a relaxed Sc2Tl2Sn crystal (PBE).

```
Sc2Tl2Sn
1.0
7.5582 0.0000 0.0000
0.0000 7.5582 0.0000
0.0000 0.0000 4.5142
Sc Tl Sn
4 4 2
direct
0.1544 0.3456 0.0000
0.3456 0.8456 0.0000
0.6544 0.1544 0.0000
0.8456 0.6544 0.0000
0.1522 0.6522 0.5000
0.3478 0.1522 0.5000
0.6522 0.8478 0.5000
0.8478 0.3478 0.5000
0.0000 0.0000 0.0000
0.5000 0.5000 0.0000
```

Summary:
Symmetry: P4/mbm, No. 127
Energy relative to the elements: -0.99 eV/f.u.
Size of the total moment: 0.0 μB/f.u.
Calculated volume: 25.79 A^3/atom
E: -22.4 eV per formula unit
Density of states at the Fermi level: 0.9391 states/eV/atom
Polymorph energy (0 for the lowest one): 0.000 eV/atom

Which value of E does entry 11 give? -14.4 eV per formula unit